No. 1
Entry from Alexandria: an optimized crystal structure of Rb2BH4 (PBE).

The calculation puts the energy above the most stable polymorph in this dataset at 0.00 eV/f.u. As for the total magnetization: 0.000 μB/f.u.

The structure belongs to space group I-42d (No. 122); the cell edges are 7.9661, 7.9661 and 12.1891 Å and the angles 90.00°, 90.00° and 90.00°. The asymmetric unit holds Rb at (0.2434, 0.7500, 0.1250), B at (0.0000, 0.0000, 0.0000) and H at (0.0883, 0.5893, 0.3091).



No. 2
Entry from Alexandria: an optimized crystal structure of RbBH3 (PBE).

The calculation puts the energy above the most stable polymorph in this dataset at 0.00 eV/f.u. As for the total magnetization: 0.000 μB/f.u.

The structure belongs to space group C2/c (No. 15); the cell edges are 7.2657, 10.8079 and 7.3089 Å and the angles 90.00°, 105.32° and 90.00°. The asymmetric unit holds Rb at (0.0000, 0.0663, 0.2500), Rb at (0.0000, 0.3392, 0.7500), B at (0.1158, 0.3632, 0.2305), H at (0.1449, 0.4507, 0.1308), H at (0.1463, 0.2704, 0.1405) and H at (0.2495, 0.1350, 0.6207).



No. 3
Entry from Alexandria: an optimized crystal structure of RbB2H6 (PBE).

The calculation puts the energy above the most stable polymorph in this dataset at 0.12 eV/f.u. As for the total magnetization: 1.000 μB/f.u.

The structure belongs to space group C2/c (No. 15); the cell edges are 10.0473, 7.9219 and 6.1049 Å and the angles 90.00°, 111.13° and 90.00°. The asymmetric unit holds Rb at (0.0000, 0.2400, 0.2500), B at (0.2304, 0.1462, 0.8969), H at (0.1266, 0.0856, 0.9242), H at (0.1592, 0.4332, 0.0226) and H at (0.2093, 0.2210, 0.7137).



No. 4
Entry from Alexandria: an optimized crystal structure of RbB2HRu (PBE).

As for the total magnetization: 0.212 μB/f.u. The calculation puts the electronic total energy at -4.38 eV/atom.

The structure belongs to space group P4/mmm (No. 123); the cell edges are 3.9625, 3.9625 and 7.3701 Å and the angles 90.00°, 90.00° and 90.00°. The asymmetric unit holds Rb at (0.0000, 0.0000, 0.0000), B at (0.0000, 0.5000, 0.5000), H at (0.5000, 0.5000, 0.0000) and Ru at (0.0000, 0.0000, 0.5000).